FeCoNi2S6: optimized geometry, PBE.

a = 5.6672 Å, b = 7.4370 Å, c = 7.4370 Å
α = 92.75°, β = 75.28°, γ = 75.28°
Fractional positions:
S 0.3317 0.2125 0.0380
S 0.4235 0.4968 0.6979
S 0.8564 0.3368 0.9310
S 0.3564 0.9310 0.3368
S 0.0765 0.3021 0.5032
S 0.5765 0.5032 0.3021
S 0.1436 0.6632 0.0690
S 0.9235 0.6979 0.4968
S 0.1683 0.9620 0.7875
S 0.6683 0.7875 0.9620
S 0.8317 0.0380 0.2125
S 0.6436 0.0690 0.6632
Co 0.2500 0.9229 0.0771
Co 0.7500 0.0771 0.9229
Ni 0.1994 0.4690 0.2704
Ni 0.3006 0.7296 0.5310
Ni 0.6994 0.2704 0.4690
Ni 0.8006 0.5310 0.7296
Fe 0.2500 0.2568 0.7432
Fe 0.7500 0.7432 0.2568


LiNd2PbO6: optimized geometry, PBE.

a = 5.6635 Å, b = 5.9686 Å, c = 8.2378 Å
α = 90.00°, β = 86.64°, γ = 90.00°
Site moments in Bohr magnetons follow the coordinates.
Fractional positions:
Nd 0.9693 0.0699 0.7429  -0.01
Nd 0.5307 0.5699 0.7571  -0.01
Nd 0.4693 0.4301 0.2429  -0.01
Nd 0.0307 0.9301 0.2571  -0.01
Pb 0.5000 0.0000 0.5000  -0.01
Pb 0.0000 0.5000 0.0000  -0.01
Li 0.0000 0.5000 0.5000  0.00
Li 0.5000 0.0000 0.0000  0.00
O 0.8010 0.7992 0.9241  0.17
O 0.3010 0.7008 0.4241  0.17
O 0.6921 0.3056 0.9408  0.13
O 0.3657 0.9435 0.7487  0.16
O 0.8079 0.8056 0.5592  0.13
O 0.3079 0.6944 0.0592  0.13
O 0.6990 0.2992 0.5759  0.17
O 0.1921 0.1944 0.4408  0.13
O 0.6343 0.0565 0.2513  0.16
O 0.8657 0.5565 0.2487  0.16
O 0.1343 0.4435 0.7513  0.16
O 0.1990 0.2008 0.0759  0.17


Calculated total moment, 0.000 1.105 μB per formula unit (same order as the records).
Calculated uncorrected formation energy, -0.304 -2.129 eV/atom (same order as the records).